(1)
Entry from Alexandria via LeMat-Bulk: a relaxed structure of Pa3BeCo5 (GGA-PBE).

Unit cell a=7.8073 b=7.8073 c=5.2843 alpha=90.00 beta=90.00 gamma=120.00
Last column: nearest neighbours and their distance in Å.
Positions (direct):
Pa1 0.0000 0.3499 0.2500  5 Co 2.55-2.76
Pa2 0.0000 0.6501 0.7500  5 Co 2.55-2.76
Pa3 0.3499 0.0000 0.2500  5 Co 2.55-2.76
Pa4 0.3499 0.3499 0.7500  5 Co 2.55-2.76
Pa5 0.6501 0.0000 0.7500  5 Co 2.55-2.76
Pa6 0.6501 0.6501 0.2500  5 Co 2.55-2.76
Be1 0.0000 0.0000 0.0000  2 Be 2.64, 6 Co 2.67
Be2 0.0000 0.0000 0.5000  2 Be 2.64, 6 Co 2.67
Co1 0.0000 0.2968 0.7500  5 Pa 2.55-2.76, 2 Be 2.67
Co2 0.0000 0.7032 0.2500  5 Pa 2.55-2.76, 2 Be 2.67
Co3 0.2968 0.0000 0.7500  5 Pa 2.55-2.76, 2 Be 2.67
Co4 0.2968 0.2968 0.2500  5 Pa 2.55-2.76, 2 Be 2.67
Co5 0.3333 0.6667 0.0000  2 Co 2.64, 6 Pa 2.86
Co6 0.3333 0.6667 0.5000  2 Co 2.64, 6 Pa 2.86
Co7 0.6667 0.3333 0.0000  2 Co 2.64, 6 Pa 2.86
Co8 0.6667 0.3333 0.5000  2 Co 2.64, 6 Pa 2.86
Co9 0.7032 0.0000 0.2500  5 Pa 2.55-2.76, 2 Be 2.67
Co10 0.7032 0.7032 0.7500  5 Pa 2.55-2.76, 2 Be 2.67

The calculation puts the density of states at the Fermi level at 14.21 states/eV per cell. The value obtained for the total energy is -7.74 eV/atom. Its energy of formation from the pure elements is -0.2118 eV per atom. Its space-group type is P6_3/mcm.

(2)
Entry from Alexandria via LeMat-Bulk: a relaxed structure of ICl3F2 (GGA-PBE).

Unit cell a=6.5232 b=7.1321 c=9.4784 alpha=87.79 beta=73.57 gamma=63.19
Last column: nearest neighbours and their distance in Å.
Positions (direct):
I1 0.0603 0.3255 0.3116  2 F 1.90-1.96
I2 0.9397 0.6745 0.6884  2 F 1.90-1.96
Cl1 0.2068 0.2821 0.5857  1 I 2.58
Cl2 0.2680 0.9667 0.2101  1 I 2.37
Cl3 0.3704 0.4023 0.1562  1 I 2.41
Cl4 0.6296 0.5977 0.8438  1 I 2.41
Cl5 0.7320 0.0333 0.7899  1 I 2.37
Cl6 0.7932 0.7179 0.4143  1 I 2.58
F1 0.0867 0.5998 0.8426  1 I 1.90
F2 0.2169 0.7218 0.5886  1 I 1.96
F3 0.7831 0.2782 0.4114  1 I 1.96
F4 0.9133 0.4002 0.1574  1 I 1.90

The calculation puts the density of states at the Fermi level at 0.00 states/eV per cell. The value obtained for the total energy is -2.47 eV/atom. Its space-group type is P-1. The calculation puts the energy relative to the elements, uncorrected at -4.0 eV/f.u.

(3)
Entry from Alexandria via LeMat-Bulk: a relaxed structure of NaCd4Hg4 (GGA-PBE).

Unit cell a=7.3683 b=7.3683 c=7.3683 alpha=95.06 beta=95.06 gamma=145.43
Last column: nearest neighbours and their distance in Å.
Positions (direct):
Na1 0.0000 0.0000 0.0000  8 Hg 3.20, 4 Cd 3.35
Cd1 0.0000 0.3364 0.3364  5 Cd 3.18-3.26, 6 Hg 3.22-3.33, 1 Na 3.35
Cd2 0.0000 0.6636 0.6636  5 Cd 3.18-3.26, 6 Hg 3.22-3.33, 1 Na 3.35
Cd3 0.3364 0.0000 0.3364  5 Cd 3.18-3.26, 6 Hg 3.22-3.33, 1 Na 3.35
Cd4 0.6636 0.0000 0.6636  5 Cd 3.18-3.26, 6 Hg 3.22-3.33, 1 Na 3.35
Hg1 0.3344 0.3344 0.6688  2 Na 3.20, 6 Cd 3.22-3.33, 4 Hg 3.23-3.29
Hg2 0.3344 0.6656 0.0000  2 Na 3.20, 6 Cd 3.22-3.33, 4 Hg 3.23-3.29
Hg3 0.6656 0.3344 0.0000  2 Na 3.20, 6 Cd 3.22-3.33, 4 Hg 3.23-3.29
Hg4 0.6656 0.6656 0.3312  2 Na 3.20, 6 Cd 3.22-3.33, 4 Hg 3.23-3.29

The calculation puts the density of states at the Fermi level at 2.93 states/eV per cell. The value obtained for the total energy is -0.74 eV/atom. Its energy of formation from the pure elements is -0.0575 eV per atom. Its space-group type is I4/mmm.

(4)
Entry from Alexandria via LeMat-Bulk: a relaxed structure of Cs2SrBi2 (GGA-PBE).

Unit cell a=8.7878 b=8.7878 c=6.4138 alpha=90.00 beta=90.00 gamma=90.00
Last column: nearest neighbours and their distance in Å.
Positions (direct):
Cs1 0.1608 0.3392 0.0000  1 Cs 4.00, 6 Bi 4.09-4.15
Cs2 0.3392 0.8392 0.0000  1 Cs 4.00, 6 Bi 4.09-4.15
Cs3 0.6608 0.1608 0.0000  1 Cs 4.00, 6 Bi 4.09-4.15
Cs4 0.8392 0.6608 0.0000  1 Cs 4.00, 6 Bi 4.09-4.15
Sr1 0.0000 0.0000 0.5000  4 Bi 3.46
Sr2 0.5000 0.5000 0.5000  4 Bi 3.46
Bi1 0.1267 0.6267 0.5000  1 Bi 3.15, 2 Sr 3.46
Bi2 0.3733 0.1267 0.5000  1 Bi 3.15, 2 Sr 3.46
Bi3 0.6267 0.8733 0.5000  1 Bi 3.15, 2 Sr 3.46
Bi4 0.8733 0.3733 0.5000  1 Bi 3.15, 2 Sr 3.46

The calculation puts the density of states at the Fermi level at 9.42 states/eV per cell. The value obtained for the total energy is -2.66 eV/atom. Its energy of formation from the pure elements is -0.4250 eV per atom. Its space-group type is P4/mbm.